First-principles (PBE) data for crystalline LaTa4Te8 at its relaxed geometry, as listed in Alexandria via LeMat-Bulk.

Cell lengths 9.010, 9.010, 9.010 Å; angles 49.93, 49.93, 49.93 degrees
Fractional coordinates of all 13 atoms:
La 0.000 0.000 0.000
Ta 0.000 0.000 0.500
Ta 0.000 0.500 0.000
Ta 0.500 0.000 0.000
Ta 0.500 0.500 0.500
Te 0.242 0.242 0.242
Te 0.252 0.737 0.737
Te 0.263 0.263 0.748
Te 0.263 0.748 0.263
Te 0.737 0.252 0.737
Te 0.737 0.737 0.252
Te 0.748 0.263 0.263
Te 0.758 0.758 0.758

Output
DOS at the Fermi energy, states/eV per cell: 5.15
Calculated total energy, eV/atom: -6.34
Space-group type: No. 166
Formation energy from raw total energies, eV/atom: -0.384

=====

First-principles (PBE) data for crystalline ZnH at its relaxed geometry, as listed in Alexandria via LeMat-Bulk.

Cell lengths 2.715, 2.715, 3.424 Å; angles 90.00, 90.00, 120.00 degrees
Fractional coordinates of all 2 atoms:
Zn 0.000 0.000 0.000
H 0.000 0.000 0.500

Output
DOS at the Fermi energy, states/eV per cell: 0.25
Calculated total energy, eV/atom: -2.00
Space-group type: No. 191

=====

First-principles (PBE) data for crystalline Li2GaAu2 at its relaxed geometry, as listed in Alexandria via LeMat-Bulk.

Cell lengths 4.600, 4.600, 5.916 Å; angles 122.82, 122.82, 52.58 degrees
Fractional coordinates of all 5 atoms:
Li 0.195 0.195 0.104
Li 0.805 0.805 0.896
Ga 0.000 0.000 0.500
Au 0.412 0.412 0.706
Au 0.588 0.588 0.294

Output
DOS at the Fermi energy, states/eV per cell: 1.51
Energy of formation from the pure elements, meV per atom: -471
Energy above the lowest structure with this stoichiometry, eV/atom: 0.0000
Calculated total energy, eV/atom: -3.15
Space-group type: No. 12

=====

First-principles (PBE) data for crystalline Sb2MoCl at its relaxed geometry, as listed in Alexandria via LeMat-Bulk.

Cell lengths 3.380, 3.380, 7.760 Å; angles 90.00, 90.00, 90.00 degrees
Fractional coordinates of all 4 atoms:
Sb 0.000 0.000 0.205
Sb 0.000 0.000 0.795
Mo 0.500 0.500 0.000
Cl 0.500 0.500 0.500

Output
DOS at the Fermi energy, states/eV per cell: 3.94
Energy above the lowest structure with this stoichiometry, eV/atom: 0.0256
Calculated total energy, eV/atom: -5.22
Space-group type: No. 123
Formation energy from raw total energies, eV/atom: 0.013